Run A
! PBE+U LiMnF5, optimized geometry; values from VASP
! * crystal system: orthorhombic
! * calculated volume: 362 Å³/cell
&SYSTEM
  ibrav = 0, nat = 28, ntyp = 3
/
ATOMIC_SPECIES
Li 6.94 Li.upf
Mn 54.94 Mn.upf
F 19.00 F.upf
ATOMIC_POSITIONS crystal
Li 0.088 0.589 0.704
Li 0.588 0.911 0.296
Li 0.412 0.411 0.204
Li 0.912 0.089 0.796
Mn 0.337 0.106 0.581
Mn 0.837 0.394 0.419
Mn 0.163 0.894 0.081
Mn 0.663 0.606 0.919
F 0.170 0.891 0.651
F 0.628 0.071 0.672
F 0.178 0.270 0.694
F 0.461 0.947 0.461
F 0.513 0.346 0.515
F 0.013 0.154 0.485
F 0.961 0.553 0.539
F 0.678 0.230 0.306
F 0.128 0.429 0.328
F 0.670 0.609 0.349
F 0.330 0.109 0.151
F 0.872 0.929 0.172
F 0.322 0.730 0.194
F 0.039 0.053 0.961
F 0.987 0.654 0.015
F 0.487 0.846 0.985
F 0.539 0.447 0.039
F 0.822 0.770 0.806
F 0.372 0.571 0.828
F 0.830 0.391 0.849
CELL_PARAMETERS angstrom
4.973 0.000 0.000
0.000 6.468 0.000
0.000 0.000 11.263


Run B
! PBE+U LiMnF5, optimized geometry; values from VASP
! * crystal system: tetragonal
! * calculated volume: 365 Å³/cell
&SYSTEM
  ibrav = 0, nat = 28, ntyp = 3
/
ATOMIC_SPECIES
Li 6.94 Li.upf
Mn 54.94 Mn.upf
F 19.00 F.upf
ATOMIC_POSITIONS crystal
Li 0.123 0.252 0.827
Li 0.252 0.877 0.577
Li 0.748 0.123 0.077
Li 0.877 0.748 0.327
Mn 0.210 0.417 0.120
Mn 0.417 0.790 0.870
Mn 0.583 0.210 0.370
Mn 0.790 0.583 0.620
F 0.046 0.663 0.178
F 0.956 0.823 0.677
F 0.016 0.393 0.987
F 0.357 0.413 0.281
F 0.337 0.046 0.428
F 0.177 0.956 0.927
F 0.231 0.573 0.806
F 0.607 0.016 0.237
F 0.573 0.769 0.556
F 0.413 0.643 0.031
F 0.587 0.357 0.531
F 0.427 0.231 0.056
F 0.393 0.984 0.737
F 0.769 0.427 0.306
F 0.823 0.044 0.427
F 0.663 0.954 0.928
F 0.643 0.587 0.781
F 0.984 0.607 0.487
F 0.044 0.177 0.177
F 0.954 0.337 0.678
CELL_PARAMETERS angstrom
5.810 0.000 0.000
0.000 5.810 0.000
0.000 0.000 10.803


Relative energies in meV per atom: run A 0; run B 65


Run A
! PBE+U Li3MnF, optimized geometry; values from VASP
! * crystal system: cubic
! * calculated volume: 77 Å³/cell
&SYSTEM
  ibrav = 0, nat = 5, ntyp = 3
/
ATOMIC_SPECIES
Mn 54.94 Mn.upf
Li 6.94 Li.upf
F 19.00 F.upf
ATOMIC_POSITIONS crystal
Mn 0.500 0.500 0.500
Li 0.000 0.500 0.000
Li 0.000 0.000 0.500
Li 0.500 0.000 0.000
F 0.000 0.000 0.000
CELL_PARAMETERS angstrom
4.253 0.000 0.000
0.000 4.253 0.000
0.000 0.000 4.253


Run B
! PBE+U Li3MnF, optimized geometry; values from VASP
! * crystal system: cubic
! * calculated volume: 156 Å³/cell
&SYSTEM
  ibrav = 0, nat = 5, ntyp = 3
/
ATOMIC_SPECIES
Mn 54.94 Mn.upf
Li 6.94 Li.upf
F 19.00 F.upf
ATOMIC_POSITIONS crystal
Mn 0.000 0.000 0.000
Li 0.000 0.500 0.000
Li 0.000 0.000 0.500
Li 0.500 0.000 0.000
F 0.500 0.500 0.500
CELL_PARAMETERS angstrom
-5.013 0.670 -1.848
-1.921 -2.736 4.221
-0.414 4.589 2.786


Relative energies in meV per atom: run A 0; run B 1056


Run A
! PBE+U LiMn2F, optimized geometry; values from VASP
! * crystal system: tetragonal
! * calculated volume: 138 Å³/cell
&SYSTEM
  ibrav = 0, nat = 8, ntyp = 3
/
ATOMIC_SPECIES
Mn 54.94 Mn.upf
Li 6.94 Li.upf
F 19.00 F.upf
ATOMIC_POSITIONS crystal
Mn 0.753 0.125 0.250
Mn 0.997 0.625 0.250
Mn 0.375 0.247 0.750
Mn 0.875 0.003 0.750
Li 0.500 0.500 0.000
Li 0.250 0.750 0.500
F 0.000 0.000 0.000
F 0.750 0.250 0.500
CELL_PARAMETERS angstrom
8.741 0.000 0.000
0.000 8.741 0.000
4.371 4.371 1.810


Run B
! PBE+U LiMn2F, optimized geometry; values from VASP
! * crystal system: cubic
! * calculated volume: 70 Å³/cell
&SYSTEM
  ibrav = 0, nat = 4, ntyp = 3
/
ATOMIC_SPECIES
Mn 54.94 Mn.upf
Li 6.94 Li.upf
F 19.00 F.upf
ATOMIC_POSITIONS crystal
Mn 0.250 0.250 0.250
Mn 0.750 0.750 0.750
Li 0.000 0.000 0.000
F 0.500 0.500 0.500
CELL_PARAMETERS angstrom
0.000 3.273 3.273
3.273 0.000 3.273
3.273 3.273 0.000


Relative energies in meV per atom: run A 0; run B 435


Run A
! PBE+U LiMnNF2, optimized geometry; values from VASP
! * crystal system: tetragonal
! * calculated volume: 64 Å³/cell
&SYSTEM
  ibrav = 0, nat = 5, ntyp = 4
/
ATOMIC_SPECIES
N 14.01 N.upf
Mn 54.94 Mn.upf
Li 6.94 Li.upf
F 19.00 F.upf
ATOMIC_POSITIONS crystal
N 0.000 0.000 0.500
Mn 0.000 0.000 0.000
Li 0.500 0.500 0.500
F 0.000 0.500 0.000
F 0.500 0.000 0.000
CELL_PARAMETERS angstrom
-0.231 -0.582 -4.096
4.137 -0.026 -0.230
0.006 -3.694 0.524


Run B
! PBE+U LiMnNF2, optimized geometry; values from VASP
! * crystal system: tetragonal
! * calculated volume: 52 Å³/cell
&SYSTEM
  ibrav = 0, nat = 5, ntyp = 4
/
ATOMIC_SPECIES
N 14.01 N.upf
Mn 54.94 Mn.upf
Li 6.94 Li.upf
F 19.00 F.upf
ATOMIC_POSITIONS crystal
N 0.000 0.000 0.500
Mn 0.500 0.500 0.500
Li 0.000 0.000 0.000
F 0.000 0.500 0.000
F 0.500 0.000 0.000
CELL_PARAMETERS angstrom
3.530 0.000 0.000
0.000 3.530 0.000
0.000 0.000 4.145


Relative energies in meV per atom: run A 0; run B 383


Run A
! PBE+U Na2LiMnF6, optimized geometry; values from VASP
! * crystal system: cubic
! * calculated volume: 118 Å³/cell
&SYSTEM
  ibrav = 0, nat = 10, ntyp = 4
/
ATOMIC_SPECIES
Na 22.99 Na.upf
Li 6.94 Li.upf
Mn 54.94 Mn.upf
F 19.00 F.upf
ATOMIC_POSITIONS crystal
Na 0.750 0.750 0.750
Na 0.250 0.250 0.250
Li 0.500 0.500 0.500
Mn 0.000 0.000 0.000
F 0.756 0.244 0.244
F 0.244 0.244 0.756
F 0.244 0.756 0.756
F 0.244 0.756 0.244
F 0.756 0.244 0.756
F 0.756 0.756 0.244
CELL_PARAMETERS angstrom
0.000 3.890 3.890
3.890 0.000 3.890
3.890 3.890 0.000


Run B
! PBE+U Na2LiMnF6, optimized geometry; values from VASP
! * crystal system: monoclinic
! * calculated volume: 230 Å³/cell
&SYSTEM
  ibrav = 0, nat = 20, ntyp = 4
/
ATOMIC_SPECIES
Na 22.99 Na.upf
Li 6.94 Li.upf
Mn 54.94 Mn.upf
F 19.00 F.upf
ATOMIC_POSITIONS crystal
Na 0.014 0.945 0.250
Na 0.514 0.555 0.750
Na 0.986 0.055 0.750
Na 0.486 0.445 0.250
Li 0.500 0.000 0.500
Li 0.000 0.500 0.000
Mn 0.500 0.000 0.000
Mn 0.000 0.500 0.500
F 0.310 0.714 0.051
F 0.810 0.786 0.551
F 0.690 0.286 0.949
F 0.190 0.214 0.449
F 0.288 0.694 0.453
F 0.788 0.806 0.953
F 0.712 0.306 0.547
F 0.212 0.194 0.047
F 0.906 0.528 0.258
F 0.406 0.972 0.758
F 0.094 0.472 0.742
F 0.594 0.028 0.242
CELL_PARAMETERS angstrom
-2.278 4.031 -2.755
-2.854 1.480 4.526
5.748 4.665 2.100


Relative energies in meV per atom: run A 147; run B 0


Run A
! PBE+U Li6Mn2O5F2, optimized geometry; values from VASP
! * crystal system: triclinic
! * calculated volume: 299 Å³/cell
&SYSTEM
  ibrav = 0, nat = 30, ntyp = 4
/
ATOMIC_SPECIES
Li 6.94 Li.upf
Mn 54.94 Mn.upf
O 16.00 O.upf
F 19.00 F.upf
ATOMIC_POSITIONS crystal
Li 0.791 0.865 0.906
Li 0.525 0.864 0.393
Li 0.096 0.898 0.423
Li 0.309 0.871 0.908
Li 0.669 0.583 0.108
Li 0.924 0.588 0.604
Li 0.076 0.412 0.396
Li 0.331 0.417 0.892
Li 0.691 0.129 0.092
Li 0.904 0.102 0.577
Li 0.475 0.136 0.607
Li 0.209 0.135 0.094
Mn 0.201 0.617 0.122
Mn 0.446 0.614 0.623
Mn 0.554 0.386 0.377
Mn 0.799 0.383 0.878
O 0.497 0.758 0.028
O 0.265 0.749 0.526
O 0.747 0.733 0.481
O 0.358 0.480 0.248
O 0.014 0.750 0.017
O 0.986 0.250 0.983
O 0.642 0.520 0.752
O 0.253 0.267 0.519
O 0.735 0.251 0.474
O 0.503 0.242 0.972
F 0.874 0.464 0.231
F 0.126 0.536 0.769
F 0.332 0.004 0.271
F 0.668 0.996 0.729
CELL_PARAMETERS angstrom
5.869 -0.005 0.005
-2.775 5.187 -0.030
-0.606 -1.445 9.846


Run B
! PBE+U Li6Mn2O5F2, optimized geometry; values from VASP
! * crystal system: monoclinic
! * calculated volume: 294 Å³/cell
&SYSTEM
  ibrav = 0, nat = 30, ntyp = 4
/
ATOMIC_SPECIES
Li 6.94 Li.upf
Mn 54.94 Mn.upf
O 16.00 O.upf
F 19.00 F.upf
ATOMIC_POSITIONS crystal
Li 0.957 0.794 0.863
Li 0.511 0.765 0.857
Li 0.234 0.184 0.868
Li 0.032 0.220 0.633
Li 0.470 0.227 0.650
Li 0.786 0.834 0.627
Li 0.766 0.184 0.368
Li 0.043 0.794 0.363
Li 0.489 0.765 0.357
Li 0.214 0.834 0.127
Li 0.968 0.220 0.133
Li 0.530 0.227 0.150
Mn 0.724 0.265 0.872
Mn 0.263 0.733 0.630
Mn 0.276 0.265 0.372
Mn 0.737 0.733 0.130
O 0.736 0.500 0.000
O 0.947 0.009 0.997
O 0.739 0.052 0.747
O 0.241 0.948 0.752
O 0.463 0.474 0.768
O 0.053 0.009 0.497
O 0.264 0.500 0.500
O 0.537 0.474 0.268
O 0.261 0.052 0.247
O 0.759 0.948 0.252
F 0.968 0.520 0.732
F 0.548 0.976 0.504
F 0.032 0.520 0.232
F 0.452 0.976 0.004
CELL_PARAMETERS angstrom
6.017 0.000 0.000
0.000 5.129 0.003
0.000 3.086 9.527


Run C
! PBE+U Li6Mn2O5F2, optimized geometry; values from VASP
! * crystal system: triclinic
! * calculated volume: 293 Å³/cell
&SYSTEM
  ibrav = 0, nat = 30, ntyp = 4
/
ATOMIC_SPECIES
Li 6.94 Li.upf
Mn 54.94 Mn.upf
O 16.00 O.upf
F 19.00 F.upf
ATOMIC_POSITIONS crystal
Li 0.121 0.455 0.603
Li 0.093 0.881 0.591
Li 0.148 0.685 0.106
Li 0.160 0.244 0.102
Li 0.416 0.344 0.880
Li 0.403 0.061 0.392
Li 0.561 0.900 0.613
Li 0.601 0.690 0.104
Li 0.926 0.849 0.913
Li 0.880 0.325 0.894
Li 0.823 0.023 0.421
Li 0.846 0.506 0.389
Mn 0.403 0.826 0.872
Mn 0.347 0.534 0.366
Mn 0.611 0.419 0.636
Mn 0.652 0.206 0.132
O 0.263 0.529 0.973
O 0.229 0.722 0.474
O 0.527 0.142 0.760
O 0.458 0.601 0.737
O 0.309 0.023 0.007
O 0.778 0.032 0.012
O 0.486 0.350 0.250
O 0.684 0.682 0.500
O 0.741 0.243 0.528
O 0.013 0.409 0.236
F 0.189 0.185 0.493
F 0.549 0.881 0.258
F 0.000 0.707 0.751
F 0.782 0.548 0.007
CELL_PARAMETERS angstrom
-0.578 5.249 2.447
-4.756 -3.322 -0.458
3.182 -4.823 8.093


Relative energies in meV per atom: run A 21; run B 8; run C 0


Run A
! PBE+U Li2Mn4O5F3, optimized geometry; values from VASP
! * crystal system: monoclinic
! * calculated volume: 158 Å³/cell
&SYSTEM
  ibrav = 0, nat = 14, ntyp = 4
/
ATOMIC_SPECIES
Li 6.94 Li.upf
Mn 54.94 Mn.upf
O 16.00 O.upf
F 19.00 F.upf
ATOMIC_POSITIONS crystal
Li 0.869 0.382 0.382
Li 0.382 0.869 0.382
Mn 0.388 0.388 0.863
Mn 0.988 0.988 0.009
Mn 0.754 0.754 0.732
Mn 0.375 0.375 0.376
O 0.598 0.164 0.618
O 0.596 0.596 0.651
O 0.582 0.152 0.133
O 0.152 0.582 0.133
O 0.164 0.598 0.618
F 0.126 0.126 0.597
F 0.148 0.148 0.107
F 0.626 0.626 0.148
CELL_PARAMETERS angstrom
6.127 0.004 -0.005
3.190 5.231 -0.005
2.808 1.578 4.938


Run B
! PBE+U Li2Mn4O5F3, optimized geometry; values from VASP
! * crystal system: monoclinic
! * calculated volume: 331 Å³/cell
&SYSTEM
  ibrav = 0, nat = 28, ntyp = 4
/
ATOMIC_SPECIES
Li 6.94 Li.upf
Mn 54.94 Mn.upf
O 16.00 O.upf
F 19.00 F.upf
ATOMIC_POSITIONS crystal
Li 0.289 0.793 0.554
Li 0.229 0.688 0.935
Li 0.793 0.289 0.054
Li 0.688 0.229 0.435
Mn 0.501 0.012 0.998
Mn 0.746 0.753 0.751
Mn 0.739 0.255 0.754
Mn 0.255 0.739 0.254
Mn 0.012 0.501 0.498
Mn 0.251 0.260 0.759
Mn 0.753 0.746 0.251
Mn 0.260 0.251 0.259
O 0.382 0.875 0.342
O 0.875 0.382 0.842
O 0.092 0.595 0.643
O 0.403 0.907 0.861
O 0.360 0.417 0.368
O 0.417 0.360 0.868
O 0.595 0.092 0.143
O 0.907 0.403 0.361
O 0.120 0.621 0.160
O 0.621 0.120 0.660
F 0.896 0.859 0.879
F 0.859 0.896 0.379
F 0.617 0.633 0.616
F 0.633 0.617 0.116
F 0.088 0.123 0.630
F 0.123 0.088 0.130
CELL_PARAMETERS angstrom
-4.290 -2.816 3.444
-2.782 -5.266 -1.650
5.021 -8.192 5.425


Relative energies in meV per atom: run A 12; run B 0


Run A
! PBE+U Li4MnO2F3, optimized geometry; values from VASP
! * crystal system: triclinic
! * calculated volume: 184 Å³/cell
&SYSTEM
  ibrav = 0, nat = 20, ntyp = 4
/
ATOMIC_SPECIES
Li 6.94 Li.upf
Mn 54.94 Mn.upf
O 16.00 O.upf
F 19.00 F.upf
ATOMIC_POSITIONS crystal
Li 0.500 0.500 0.500
Li 0.000 0.500 0.000
Li 0.495 0.890 0.318
Li 0.505 0.110 0.682
Li 0.510 0.292 0.089
Li 0.490 0.708 0.911
Li 0.995 0.265 0.592
Li 0.005 0.735 0.408
Mn 0.982 0.903 0.799
Mn 0.018 0.097 0.201
O 0.226 0.906 0.040
O 0.774 0.094 0.960
O 0.758 0.894 0.566
O 0.242 0.106 0.434
F 0.745 0.486 0.748
F 0.255 0.514 0.252
F 0.763 0.290 0.341
F 0.237 0.710 0.659
F 0.737 0.686 0.150
F 0.263 0.314 0.850
CELL_PARAMETERS angstrom
-4.048 -0.587 -3.059
2.195 -4.691 -0.874
-3.055 0.131 7.049


Run B
! PBE+U Li4MnO2F3, optimized geometry; values from VASP
! * crystal system: triclinic
! * calculated volume: 216 Å³/cell
&SYSTEM
  ibrav = 0, nat = 20, ntyp = 4
/
ATOMIC_SPECIES
Li 6.94 Li.upf
Mn 54.94 Mn.upf
O 16.00 O.upf
F 19.00 F.upf
ATOMIC_POSITIONS crystal
Li 0.814 0.408 0.357
Li 0.500 0.500 0.500
Li 0.000 0.500 0.000
Li 0.397 0.145 0.054
Li 0.976 0.889 0.729
Li 0.024 0.111 0.271
Li 0.603 0.855 0.946
Li 0.186 0.592 0.643
Mn 0.583 0.197 0.703
Mn 0.417 0.803 0.297
O 0.651 0.037 0.200
O 0.827 0.476 0.635
O 0.173 0.524 0.365
O 0.349 0.963 0.800
F 0.679 0.898 0.555
F 0.551 0.510 0.219
F 0.111 0.851 0.103
F 0.889 0.149 0.897
F 0.449 0.490 0.781
F 0.321 0.102 0.445
CELL_PARAMETERS angstrom
5.731 -0.627 0.053
-1.493 5.317 0.324
-1.826 -2.222 7.129


Relative energies in meV per atom: run A 0; run B 176